Record 1
Below is an optimized crystal structure of Nb2AlAu, with properties calculated at the PBE level.

Cell and atoms, written as POSCAR:
```
Nb2AlAu
1.0
-1.943 0.211 -2.132
0.945 -5.260 -1.382
-3.602 1.351 3.416
Al Nb Au
1 2 1
direct
0.500 0.000 0.500
0.000 0.000 0.000
0.000 0.500 0.000
0.500 0.500 0.500
```

Properties
The space group is Cmmm (65). The density of states at the Fermi level is 3.2 states/eV per cell. The formation energy comes out at -94 kJ/mol of formula units. For the total moment, the calculation gives 0.000 μB/atom.

***

Record 2
Below is an optimized crystal structure of SrCePb2O8, with properties calculated at the PBE level.

Cell and atoms, written as POSCAR:
```
SrCePb2O8
1.0
5.714 0.000 0.000
0.000 5.714 0.000
-2.857 -2.857 5.439
Ce O Sr Pb
1 8 1 2
direct
0.000 0.000 0.000
0.164 0.629 0.818
0.654 0.188 0.818
0.812 0.836 0.182
0.337 0.901 0.293
0.099 0.044 0.707
0.956 0.392 0.293
0.608 0.663 0.707
0.371 0.346 0.182
0.750 0.250 0.500
0.500 0.500 0.000
0.250 0.750 0.500
```

Properties
The space group is I-4 (82). The density of states at the Fermi level is 3.2 states/eV per cell. The uncorrected formation energy is -1560 meV per atom. For the total moment, the calculation gives 0.169 μB/atom.

***

Please write out number 2 again, unchanged.
Below is an optimized crystal structure of SrCePb2O8, with properties calculated at the PBE level.

Cell and atoms, written as POSCAR:
```
SrCePb2O8
1.0
5.714 0.000 0.000
0.000 5.714 0.000
-2.857 -2.857 5.439
Ce O Sr Pb
1 8 1 2
direct
0.000 0.000 0.000
0.164 0.629 0.818
0.654 0.188 0.818
0.812 0.836 0.182
0.337 0.901 0.293
0.099 0.044 0.707
0.956 0.392 0.293
0.608 0.663 0.707
0.371 0.346 0.182
0.750 0.250 0.500
0.500 0.500 0.000
0.250 0.750 0.500
```

Properties
The space group is I-4 (82). The density of states at the Fermi level is 3.2 states/eV per cell. The uncorrected formation energy is -1560 meV per atom. For the total moment, the calculation gives 0.169 μB/atom.